# 1
{"formula": "MnPd3Cl", "functional": "PBEsol", "state": "optimized geometry", "e_tot_ev_per_atom": -5.327, "total_magnetization_mub_per_cell": 4.47, "lattice_angstrom": [[4.4457, 0.0000, 0.0000], [0.0000, 4.4457, 0.0000], [0.0000, 0.0000, 4.4457]], "species": ["Mn", "Pd", "Pd", "Pd", "Cl"], "frac_coords": [[0.0000, 0.0000, 0.0000], [0.0000, 0.5000, 0.5000], [0.5000, 0.0000, 0.5000], [0.5000, 0.5000, 0.0000], [0.5000, 0.5000, 0.5000]]}

=====

# 2
{"formula": "MnPd3Cl", "functional": "PBEsol", "state": "optimized geometry", "e_tot_ev_per_atom": -5.023, "total_magnetization_mub_per_cell": 4.20, "lattice_angstrom": [[4.6088, 0.0000, 0.0000], [0.0000, 4.6088, 0.0000], [0.0000, 0.0000, 4.6088]], "species": ["Mn", "Pd", "Pd", "Pd", "Cl"], "frac_coords": [[0.0000, 0.0000, 0.0000], [0.0000, 0.0000, 0.5000], [0.0000, 0.5000, 0.0000], [0.5000, 0.0000, 0.0000], [0.5000, 0.5000, 0.5000]]}